Record 1
Compound: Cs4CaBr6
Source: the Alexandria database
Functional: GGA-PBE
Structure: relaxed

## Properties
**Crystal system**: trigonal
**DOS(E_F)**: 0.0000 states/eV per atom
**ΔE_f (raw)**: -1.88 eV per atom
**Total energy**: -72.326 eV for the cell shown
**Magnetization**: 0.00 μB per cell

Cell: 9.9228 9.9228 9.9228 Å, 88.86 88.86 88.86°
Sites, in units of the cell vectors:
Cs: 0.1213 0.7500 0.3787
Cs: 0.2500 0.2500 0.2500
Cs: 0.2500 0.6213 0.8787
Cs: 0.3787 0.1213 0.7500
Cs: 0.6213 0.8787 0.2500
Cs: 0.7500 0.3787 0.1213
Cs: 0.7500 0.7500 0.7500
Cs: 0.8787 0.2500 0.6213
Ca: 0.0000 0.0000 0.0000
Ca: 0.5000 0.5000 0.5000
Br: 0.0617 0.9279 0.7186
Br: 0.0721 0.2814 0.9383
Br: 0.2186 0.4279 0.5617
Br: 0.2814 0.9383 0.0721
Br: 0.4279 0.5617 0.2186
Br: 0.4383 0.7814 0.5721
Br: 0.5617 0.2186 0.4279
Br: 0.5721 0.4383 0.7814
Br: 0.7186 0.0617 0.9279
Br: 0.7814 0.5721 0.4383
Br: 0.9279 0.7186 0.0617
Br: 0.9383 0.0721 0.2814

---

Record 2
Compound: Cs3Ca5Br12
Source: the Alexandria database
Functional: GGA-PBE
Structure: relaxed

## Properties
**Crystal system**: cubic
**DOS(E_F)**: 0.2206 states/eV per atom
**ΔE_f (raw)**: -1.84 eV per atom
**Total energy**: -278.008 eV for the cell shown
**Magnetization**: 0.00 μB per cell

Cell: 16.4407 16.4407 16.4407 Å, 109.47 109.47 109.47°
Sites, in units of the cell vectors:
Cs: 0.1250 0.2500 0.3750
Cs: 0.1250 0.3750 0.7500
Cs: 0.2500 0.3750 0.1250
Cs: 0.2500 0.8750 0.6250
Cs: 0.3750 0.1250 0.2500
Cs: 0.3750 0.7500 0.1250
Cs: 0.6250 0.2500 0.8750
Cs: 0.6250 0.8750 0.7500
Cs: 0.7500 0.1250 0.3750
Cs: 0.7500 0.6250 0.8750
Cs: 0.8750 0.6250 0.2500
Cs: 0.8750 0.7500 0.6250
Ca: 0.0000 0.0000 0.0000
Ca: 0.0000 0.0000 0.5000
Ca: 0.0000 0.5000 0.0000
Ca: 0.0000 0.5000 0.5000
Ca: 0.1250 0.7500 0.8750
Ca: 0.1250 0.8750 0.2500
Ca: 0.2500 0.1250 0.8750
Ca: 0.2500 0.6250 0.3750
Ca: 0.3750 0.2500 0.6250
Ca: 0.3750 0.6250 0.7500
Ca: 0.5000 0.0000 0.0000
Ca: 0.5000 0.0000 0.5000
Ca: 0.5000 0.5000 0.0000
Ca: 0.5000 0.5000 0.5000
Ca: 0.6250 0.3750 0.2500
Ca: 0.6250 0.7500 0.3750
Ca: 0.7500 0.3750 0.6250
Ca: 0.7500 0.8750 0.1250
Ca: 0.8750 0.1250 0.7500
Ca: 0.8750 0.2500 0.1250
Br: 0.0166 0.1943 0.1110
Br: 0.0166 0.3223 0.9055
Br: 0.0832 0.6943 0.6777
Br: 0.0832 0.8890 0.4055
Br: 0.0945 0.6110 0.4168
Br: 0.0945 0.9834 0.6777
Br: 0.1110 0.0166 0.1943
Br: 0.1110 0.5945 0.9168
Br: 0.1777 0.1943 0.5832
Br: 0.1777 0.4834 0.5945
Br: 0.1943 0.1110 0.0166
Br: 0.1943 0.5832 0.1777
Br: 0.3057 0.3223 0.9168
Br: 0.3057 0.4834 0.3890
Br: 0.3223 0.9055 0.0166
Br: 0.3223 0.9168 0.3057
Br: 0.3890 0.3057 0.4834
Br: 0.3890 0.5832 0.9055
Br: 0.4055 0.0832 0.8890
Br: 0.4055 0.8223 0.5166
Br: 0.4168 0.0945 0.6110
Br: 0.4168 0.8223 0.8057
Br: 0.4834 0.3890 0.3057
Br: 0.4834 0.5945 0.1777
Br: 0.5166 0.4055 0.8223
Br: 0.5166 0.6110 0.6943
Br: 0.5832 0.1777 0.1943
Br: 0.5832 0.9055 0.3890
Br: 0.5945 0.1777 0.4834
Br: 0.5945 0.9168 0.1110
Br: 0.6110 0.4168 0.0945
Br: 0.6110 0.6943 0.5166
Br: 0.6777 0.0832 0.6943
Br: 0.6777 0.0945 0.9834
Br: 0.6943 0.5166 0.6110
Br: 0.6943 0.6777 0.0832
Br: 0.8057 0.4168 0.8223
Br: 0.8057 0.8890 0.9834
Br: 0.8223 0.5166 0.4055
Br: 0.8223 0.8057 0.4168
Br: 0.8890 0.4055 0.0832
Br: 0.8890 0.9834 0.8057
Br: 0.9055 0.0166 0.3223
Br: 0.9055 0.3890 0.5832
Br: 0.9168 0.1110 0.5945
Br: 0.9168 0.3057 0.3223
Br: 0.9834 0.6777 0.0945
Br: 0.9834 0.8057 0.8890